# 1
# GGA-PBE Tb3DyEr2Se6, relaxed
data_Tb3DyEr2Se6
_cell_length_a 7.051
_cell_length_b 7.051
_cell_length_c 7.077
_cell_angle_alpha 99.52
_cell_angle_beta 99.52
_cell_angle_gamma 120.35
_symmetry_space_group_name_H-M 'P 1'
_symmetry_Int_Tables_number 1
_symmetry_space_group_name_Hall 'P 1'
loop_
_atom_site_label
_atom_site_fract_x
_atom_site_fract_y
_atom_site_fract_z
_atom_site_occupancy
Se1 0.418 0.082 0.246 1
Se2 0.746 0.746 0.245 1
Se3 0.918 0.582 0.754 1
Se4 0.082 0.418 0.246 1
Se5 0.254 0.254 0.755 1
Se6 0.582 0.918 0.754 1
Er1 0.334 0.666 0.000 1
Er2 0.666 0.334 0.000 1
Tb1 0.165 0.835 0.500 1
Tb2 0.835 0.165 0.500 1
Tb3 0.500 0.500 0.500 1
Dy1 0.000 0.000 0.000 1
# uncorrected energy = -69.5 eV per cell
# N(E_F) = 5.52 states/eV per cell

# 2
# GGA-PBE Li2Ga4Ni, relaxed
data_Li2Ga4Ni
_cell_length_a 4.500
_cell_length_b 4.500
_cell_length_c 7.376
_cell_angle_alpha 72.24
_cell_angle_beta 72.24
_cell_angle_gamma 90.00
_symmetry_space_group_name_H-M 'P 1'
_symmetry_Int_Tables_number 1
_symmetry_space_group_name_Hall 'P 1'
loop_
_atom_site_label
_atom_site_fract_x
_atom_site_fract_y
_atom_site_fract_z
_atom_site_occupancy
Li1 0.375 0.375 0.250 1
Li2 0.625 0.625 0.750 1
Ga1 0.500 0.000 0.000 1
Ga2 0.000 0.500 0.000 1
Ga3 0.816 0.816 0.368 1
Ga4 0.184 0.184 0.632 1
Ni1 0.000 0.000 0.000 1
# uncorrected energy = -22.2 eV per cell
# ΔE_f = -1.7 kcal/mol of atoms
# N(E_F) = 3.14 states/eV per cell

# 3
# GGA-PBE Li4NCl2, relaxed
data_Li4NCl2
_cell_length_a 3.507
_cell_length_b 6.069
_cell_length_c 6.242
_cell_angle_alpha 120.86
_cell_angle_beta 106.32
_cell_angle_gamma 90.00
_symmetry_space_group_name_H-M 'P 1'
_symmetry_Int_Tables_number 1
_symmetry_space_group_name_Hall 'P 1'
loop_
_atom_site_label
_atom_site_fract_x
_atom_site_fract_y
_atom_site_fract_z
_atom_site_occupancy
Li1 0.595 0.219 0.190 1
Li2 0.884 0.143 0.768 1
Li3 0.405 0.781 0.810 1
Li4 0.116 0.857 0.232 1
Cl1 0.314 0.311 0.629 1
Cl2 0.686 0.689 0.371 1
N1 0.000 0.000 0.000 1
# uncorrected energy = -26.5 eV per cell
# energy above the most stable polymorph in this dataset = 0.0000 eV/atom

# 4
# GGA-PBE In2GaB, relaxed
data_In2GaB
_cell_length_a 4.831
_cell_length_b 4.831
_cell_length_c 4.831
_cell_angle_alpha 60.00
_cell_angle_beta 60.00
_cell_angle_gamma 60.00
_symmetry_space_group_name_H-M 'P 1'
_symmetry_Int_Tables_number 1
_symmetry_space_group_name_Hall 'P 1'
loop_
_atom_site_label
_atom_site_fract_x
_atom_site_fract_y
_atom_site_fract_z
_atom_site_occupancy
Ga1 0.500 0.500 0.500 1
B1 0.000 0.000 0.000 1
In1 0.250 0.250 0.250 1
In2 0.750 0.750 0.750 1
# uncorrected energy = -11.8 eV per cell
# ΔE_f = 19.4 kcal/mol of atoms
# energy above the most stable polymorph in this dataset = 0.2156 eV/atom
# N(E_F) = 1.68 states/eV per cell

# 5
# GGA-PBE Al2TlZn2, relaxed
data_Al2TlZn2
_cell_length_a 8.153
_cell_length_b 8.153
_cell_length_c 2.924
_cell_angle_alpha 90.00
_cell_angle_beta 90.00
_cell_angle_gamma 90.00
_symmetry_space_group_name_H-M 'P 1'
_symmetry_Int_Tables_number 1
_symmetry_space_group_name_Hall 'P 1'
loop_
_atom_site_label
_atom_site_fract_x
_atom_site_fract_y
_atom_site_fract_z
_atom_site_occupancy
Zn1 0.832 0.332 0.500 1
Zn2 0.332 0.168 0.500 1
Zn3 0.168 0.668 0.500 1
Zn4 0.668 0.832 0.500 1
Al1 0.876 0.624 0.000 1
Al2 0.624 0.124 0.000 1
Al3 0.376 0.876 0.000 1
Al4 0.124 0.376 0.000 1
Tl1 0.000 0.000 0.000 1
Tl2 0.500 0.500 0.000 1
# uncorrected energy = -23.3 eV per cell
# ΔE_f = 3.4 kcal/mol of atoms
# energy above the most stable polymorph in this dataset = 0.0434 eV/atom
# N(E_F) = 3.12 states/eV per cell

# 6
# GGA-PBE Ca2NdF8, relaxed
data_Ca2NdF8
_cell_length_a 3.955
_cell_length_b 6.009
_cell_length_c 6.907
_cell_angle_alpha 115.79
_cell_angle_beta 106.64
_cell_angle_gamma 90.00
_symmetry_space_group_name_H-M 'P 1'
_symmetry_Int_Tables_number 1
_symmetry_space_group_name_Hall 'P 1'
loop_
_atom_site_label
_atom_site_fract_x
_atom_site_fract_y
_atom_site_fract_z
_atom_site_occupancy
F1 0.338 0.105 0.675 1
F2 0.000 0.671 0.000 1
F3 0.000 0.329 0.000 1
F4 0.662 0.430 0.325 1
F5 0.662 0.895 0.325 1
F6 0.338 0.570 0.675 1
F7 0.118 0.118 0.235 1
F8 0.882 0.882 0.765 1
Ca1 0.814 0.314 0.628 1
Ca2 0.186 0.686 0.372 1
Nd1 0.500 0.000 0.000 1
# uncorrected energy = -62.7 eV per cell

Ρ in g cm⁻³, matching the order above: 8.40, 4.33, 1.74, 6.46, 6.65, 4.46